1.
Compound: ZnAs2Rh
Source: the Alexandria database
Functional: PBE
Structure: optimized geometry Values from VASP.

Calculated values
V ... 64.9 Å³/f.u.
Electronic total energy ... -17.94 eV for the cell shown
Symmetry ... Cmmm, No. 65

Structure (Quantum ESPRESSO input):
```
&SYSTEM
  ibrav = 0, nat = 4, ntyp = 3
/
ATOMIC_SPECIES
Zn 65.41 Zn.upf
As 74.92 As.upf
Rh 102.91 Rh.upf
CELL_PARAMETERS angstrom
4.596 -0.001 -0.049
-1.356 4.392 -0.049
0.033 0.045 3.216
ATOMIC_POSITIONS angstrom
Zn -0.661 2.218 1.583
As 0.000 0.000 0.000
As 1.620 2.195 -0.049
Rh 2.315 0.022 1.583
```

***

2.
Compound: Er2SbRu
Source: the Alexandria database
Functional: PBE
Structure: optimized geometry Values from VASP.

Calculated values
V ... 89.5 Å³/f.u.
Electronic total energy ... -24.65 eV for the cell shown
Energy above the most stable polymorph in this dataset ... 89 meV/atom
Symmetry ... P4/mmm, No. 123
Raw formation energy ... -0.5315 eV/atom

Structure (Quantum ESPRESSO input):
```
&SYSTEM
  ibrav = 0, nat = 4, ntyp = 3
/
ATOMIC_SPECIES
Sb 121.76 Sb.upf
Er 167.26 Er.upf
Ru 101.07 Ru.upf
CELL_PARAMETERS angstrom
-1.741 1.490 -3.127
-0.192 -4.375 -1.979
-4.290 -0.734 2.038
ATOMIC_POSITIONS angstrom
Sb -3.111 -1.809 -1.533
Er -2.145 -0.367 1.019
Er -0.096 -2.188 -0.989
Ru -0.870 0.745 -1.563
```

***

3.
Compound: Rb2YThSe4
Source: the Alexandria database
Functional: PBE
Structure: optimized geometry Values from VASP.

Calculated values
V ... 254.1 Å³/f.u.
Electronic total energy ... -42.77 eV for the cell shown
Symmetry ... P2/m, No. 10
Raw formation energy ... -1.6265 eV/atom

Structure (Quantum ESPRESSO input):
```
&SYSTEM
  ibrav = 0, nat = 8, ntyp = 4
/
ATOMIC_SPECIES
Se 78.96 Se.upf
Y 88.91 Y.upf
Rb 85.47 Rb.upf
Th 232.04 Th.upf
CELL_PARAMETERS angstrom
4.261 0.000 0.000
0.000 7.380 0.133
0.000 -2.593 8.033
ATOMIC_POSITIONS angstrom
Se 2.130 3.603 6.535
Se 0.000 4.925 1.736
Se 0.000 -0.138 6.430
Se 2.130 1.185 1.631
Y 0.000 0.000 0.000
Rb 0.000 2.394 4.083
Rb 2.130 -1.296 4.016
Th 2.130 3.690 0.067
```